This record from the Alexandria database describes Li2YBr after structural relaxation. The functional is PBE.

Unit cell a=3.3128 b=5.2556 c=10.9588 alpha=90.00 beta=90.00 gamma=90.00
Fractional coordinates of all 8 atoms:
Li 0.0000 0.0000 0.2188
Li 0.0000 0.0000 0.7812
Li 0.5000 0.5000 0.2812
Li 0.5000 0.5000 0.7188
Y 0.0000 0.5000 0.0000
Y 0.5000 0.0000 0.5000
Br 0.0000 0.5000 0.5000
Br 0.5000 0.0000 0.0000

Results
ΔE to the lowest computed polymorph: 157.3 meV/atom
crystal system: orthorhombic
formation energy without anion corrections: -0.377 eV per atom



This record from the Alexandria database describes Ho2CdNi after structural relaxation. The functional is PBE.

Unit cell a=3.4335 b=3.4335 c=7.6022 alpha=90.00 beta=90.00 gamma=90.00
Fractional coordinates of all 4 atoms:
Ho 0.0000 0.0000 0.2117
Ho 0.0000 0.0000 0.7883
Cd 0.5000 0.5000 0.5000
Ni 0.5000 0.5000 0.0000

Results
energy relative to the elements: -379 meV/atom
ΔE to the lowest computed polymorph: 0.0 meV/atom
crystal system: tetragonal



This record from the Alexandria database describes Sm3IrPd after structural relaxation. The functional is PBE.

Unit cell a=4.0157 b=8.5616 c=8.5727 alpha=70.51 beta=89.99 gamma=89.99
Fractional coordinates of all 10 atoms:
Sm 0.0000 0.0000 0.0000
Sm 0.9998 0.1179 0.3947
Sm 0.0014 0.7569 0.7555
Sm 0.0016 0.3611 0.6390
Sm 0.5008 0.4097 0.0477
Sm 0.5007 0.7084 0.3472
Ir 0.4999 0.0590 0.1973
Ir 0.5014 0.5589 0.6975
Pd 0.0008 0.5583 0.1983
Pd 0.5006 0.0589 0.6974

Results
energy relative to the elements: -568 meV/atom
crystal system: triclinic



Density of states at the Fermi level across the listed records, respectively: 4.81, 2.29, 5.53 states/eV per cell.
Volume across the listed records, respectively: 191, 90, 278 Å³/cell.
DFT total energy across the listed records, respectively: -26.95, -17.37, -62.10 eV per cell.